# GGA+U Mn2VCrO4, relaxed
# Total DFT energy (no corrections)   -244.61 eV/cell
data_Mn2VCrO4
_chemical_formula_sum 'Mn8 V4 Cr4 O16'
_symmetry_space_group_name_H-M 'F m m 2'
_symmetry_Int_Tables_number 42
_symmetry_space_group_name_Hall 'F 2 -2'
_cell_length_a 6.8418
_cell_length_b 7.0023
_cell_length_c 9.4951
_cell_angle_alpha 90.00
_cell_angle_beta 90.00
_cell_angle_gamma 90.00
loop_
_atom_site_label
_atom_site_type_symbol
_atom_site_fract_x
_atom_site_fract_y
_atom_site_fract_z
Mn1 Mn 0.2500 0.2500 0.0000
V1 V 0.0000 0.0000 0.2445
Cr1 Cr 0.0000 0.0000 0.7749
O1 O 0.0000 0.2248 0.3682
O2 O 0.2318 0.0000 0.1228